Run 1
DFT (GGA-PBEsol) results for a relaxed structure of CdInTe.

The structure in CIF format:
```
data_CdInTe
_chemical_formula_sum 'Cd4 In4 Te4'
_cell_length_a 3.820
_cell_length_b 5.054
_cell_length_c 16.105
_cell_angle_alpha 90.00
_cell_angle_beta 90.00
_cell_angle_gamma 90.00
_symmetry_space_group_name_H-M 'F m m 2'
_symmetry_Int_Tables_number 42
_symmetry_space_group_name_Hall 'F 2 -2'
loop_
_atom_site_label
_atom_site_fract_x
_atom_site_fract_y
_atom_site_fract_z
_atom_site_occupancy
Cd1 0.000 0.000 0.000 1
In1 0.000 0.000 0.659 1
Te1 0.000 0.000 0.336 1
```

***

Run 2
DFT (GGA-PBEsol) results for a relaxed structure of CdInTe.

The structure in CIF format:
```
data_CdInTe
_chemical_formula_sum 'Cd2 In2 Te2'
_cell_length_a 3.269
_cell_length_b 3.960
_cell_length_c 11.994
_cell_angle_alpha 90.00
_cell_angle_beta 90.00
_cell_angle_gamma 90.00
_symmetry_space_group_name_H-M 'I m m 2'
_symmetry_Int_Tables_number 44
loop_
_symmetry_equiv_pos_as_xyz
'x,y,z'
'-x,-y,z'
'-x,y,z'
'x,-y,z'
'x+1/2,y+1/2,z+1/2'
'-x+1/2,-y+1/2,z+1/2'
'-x+1/2,y+1/2,z+1/2'
'x+1/2,-y+1/2,z+1/2'
loop_
_atom_site_label
_atom_site_fract_x
_atom_site_fract_y
_atom_site_fract_z
_atom_site_occupancy
Cd1 0.000 0.000 0.000 1
In1 0.000 0.000 0.659 1
Te1 0.000 0.000 0.339 1
```

***

The calculated energies rank the structures as follows, beginning with the most stable: run 2, run 1.

***

Run 1
DFT (GGA-PBEsol) results for a relaxed structure of TlCd2In.

The structure in CIF format:
```
data_TlCd2In
_chemical_formula_sum 'Tl2 Cd4 In2'
_cell_length_a 4.604
_cell_length_b 4.604
_cell_length_c 9.058
_cell_angle_alpha 90.00
_cell_angle_beta 90.00
_cell_angle_gamma 90.00
_symmetry_space_group_name_H-M 'I -4 m 2'
_symmetry_Int_Tables_number 119
_symmetry_space_group_name_Hall 'I -4 -2'
loop_
_atom_site_label
_atom_site_fract_x
_atom_site_fract_y
_atom_site_fract_z
_atom_site_occupancy
Tl1 0.000 0.000 0.000 1
Cd1 0.000 0.000 0.500 1
Cd2 0.000 0.500 0.250 1
In1 0.000 0.500 0.750 1
```

***

Run 2
DFT (GGA-PBEsol) results for a relaxed structure of TlCd2In.

The structure in CIF format:
```
data_TlCd2In
_chemical_formula_sum 'Tl2 Cd4 In2'
_cell_length_a 3.156
_cell_length_b 5.533
_cell_length_c 11.167
_cell_angle_alpha 90.00
_cell_angle_beta 90.00
_cell_angle_gamma 90.00
_symmetry_space_group_name_H-M 'I m m m'
_symmetry_Int_Tables_number 71
_symmetry_space_group_name_Hall '-I 2 2'
loop_
_atom_site_label
_atom_site_fract_x
_atom_site_fract_y
_atom_site_fract_z
_atom_site_occupancy
Tl1 0.000 0.000 0.000 1
Cd1 0.000 0.500 0.244 1
In1 0.000 0.000 0.500 1
```

***

Run 3
DFT (GGA-PBEsol) results for a relaxed structure of TlCd2In.

The structure in CIF format:
```
data_TlCd2In
_chemical_formula_sum 'Tl1 Cd2 In1'
_cell_length_a 3.202
_cell_length_b 4.627
_cell_length_c 6.450
_cell_angle_alpha 90.00
_cell_angle_beta 90.00
_cell_angle_gamma 90.00
_symmetry_space_group_name_H-M 'P m m 2'
_symmetry_Int_Tables_number 25
loop_
_symmetry_equiv_pos_as_xyz
'x,y,z'
'-x,-y,z'
'-x,y,z'
'x,-y,z'
loop_
_atom_site_label
_atom_site_fract_x
_atom_site_fract_y
_atom_site_fract_z
_atom_site_occupancy
Tl1 0.000 0.000 0.000 1
Cd1 0.000 0.000 0.490 1
Cd2 0.500 0.500 0.257 1
In1 0.500 0.500 0.735 1
```

***

The calculated energies rank the structures as follows, beginning with the most stable: run 3, run 1, run 2.

***

Run 1
DFT (GGA-PBEsol) results for a relaxed structure of TlCd2In.

The structure in CIF format:
```
data_TlCd2In
_chemical_formula_sum 'Tl2 Cd4 In2'
_cell_length_a 3.079
_cell_length_b 5.554
_cell_length_c 11.369
_cell_angle_alpha 90.00
_cell_angle_beta 90.00
_cell_angle_gamma 90.00
_symmetry_space_group_name_H-M 'I m m 2'
_symmetry_Int_Tables_number 44
loop_
_symmetry_equiv_pos_as_xyz
'x,y,z'
'-x,-y,z'
'-x,y,z'
'x,-y,z'
'x+1/2,y+1/2,z+1/2'
'-x+1/2,-y+1/2,z+1/2'
'-x+1/2,y+1/2,z+1/2'
'x+1/2,-y+1/2,z+1/2'
loop_
_atom_site_label
_atom_site_fract_x
_atom_site_fract_y
_atom_site_fract_z
_atom_site_occupancy
Tl1 0.000 0.000 0.000 1
Cd1 0.000 0.000 0.484 1
Cd2 0.000 0.500 0.756 1
In1 0.000 0.500 0.228 1
```

***

Run 2
DFT (GGA-PBEsol) results for a relaxed structure of TlCd2In.

The structure in CIF format:
```
data_TlCd2In
_chemical_formula_sum 'Tl1 Cd2 In1'
_cell_length_a 3.391
_cell_length_b 4.736
_cell_length_c 6.277
_cell_angle_alpha 90.00
_cell_angle_beta 105.62
_cell_angle_gamma 90.00
_symmetry_space_group_name_H-M 'P 1 m 1'
_symmetry_Int_Tables_number 6
loop_
_symmetry_equiv_pos_as_xyz
'x,y,z'
'x,-y,z'
loop_
_atom_site_label
_atom_site_fract_x
_atom_site_fract_y
_atom_site_fract_z
_atom_site_occupancy
Tl1 0.000 0.000 0.000 1
Cd1 0.599 0.500 0.195 1
Cd2 0.736 0.000 0.487 1
In1 0.329 0.500 0.670 1
```

***

The calculated energies rank the structures as follows, beginning with the most stable: run 2, run 1.

***

Run 1
DFT (GGA-PBEsol) results for a relaxed structure of TlCd2In.

The structure in CIF format:
```
data_TlCd2In
_chemical_formula_sum 'Tl1 Cd2 In1'
_cell_length_a 3.202
_cell_length_b 3.202
_cell_length_c 9.412
_cell_angle_alpha 90.00
_cell_angle_beta 90.00
_cell_angle_gamma 90.00
_symmetry_space_group_name_H-M 'P 4/m m m'
_symmetry_Int_Tables_number 123
_symmetry_space_group_name_Hall '-P 4 2'
loop_
_atom_site_label
_atom_site_fract_x
_atom_site_fract_y
_atom_site_fract_z
_atom_site_occupancy
Tl1 0.000 0.000 0.000 1
Cd1 0.500 0.500 0.258 1
In1 0.000 0.000 0.500 1
```

***

Run 2
DFT (GGA-PBEsol) results for a relaxed structure of TlCd2In.

The structure in CIF format:
```
data_TlCd2In
_chemical_formula_sum 'Tl4 Cd8 In4'
_cell_length_a 7.311
_cell_length_b 7.311
_cell_length_c 7.311
_cell_angle_alpha 90.00
_cell_angle_beta 90.00
_cell_angle_gamma 90.00
_symmetry_space_group_name_H-M 'F -4 3 m'
_symmetry_Int_Tables_number 216
_symmetry_space_group_name_Hall 'F -4 2 3'
loop_
_atom_site_label
_atom_site_fract_x
_atom_site_fract_y
_atom_site_fract_z
_atom_site_occupancy
Tl1 0.000 0.000 0.000 1
Cd1 0.000 0.000 0.500 1
Cd2 0.250 0.250 0.750 1
In1 0.250 0.250 0.250 1
```

***

Run 3
DFT (GGA-PBEsol) results for a relaxed structure of TlCd2In.

The structure in CIF format:
```
data_TlCd2In
_chemical_formula_sum 'Tl3 Cd6 In3'
_cell_length_a 3.1993
_cell_length_b 3.1993
_cell_length_c 32.3967
_cell_angle_alpha 90.00
_cell_angle_beta 90.00
_cell_angle_gamma 120.00
_symmetry_space_group_name_H-M 'R 3 m'
_symmetry_Int_Tables_number 160
_symmetry_space_group_name_Hall 'R 3 -2"'
loop_
_atom_site_label
_atom_site_fract_x
_atom_site_fract_y
_atom_site_fract_z
_atom_site_occupancy
Tl1 0.0000 0.0000 0.0000 1
Cd1 0.0000 0.0000 0.4947 1
Cd2 0.0000 0.0000 0.7526 1
In1 0.0000 0.0000 0.2423 1
```

***

Run 4
DFT (GGA-PBEsol) results for a relaxed structure of TlCd2In.

The structure in CIF format:
```
data_TlCd2In
_chemical_formula_sum 'Tl1 Cd2 In1'
_cell_length_a 3.231
_cell_length_b 3.231
_cell_length_c 9.200
_cell_angle_alpha 90.00
_cell_angle_beta 90.00
_cell_angle_gamma 90.00
_symmetry_space_group_name_H-M 'P 4 m m'
_symmetry_Int_Tables_number 99
loop_
_symmetry_equiv_pos_as_xyz
'x,y,z'
'-y,x,z'
'-x,-y,z'
'y,-x,z'
'-x,y,z'
'y,x,z'
'x,-y,z'
'-y,-x,z'
loop_
_atom_site_label
_atom_site_fract_x
_atom_site_fract_y
_atom_site_fract_z
_atom_site_occupancy
Tl1 0.000 0.000 0.000 1
Cd1 0.000 0.000 0.476 1
Cd2 0.500 0.500 0.258 1
In1 0.500 0.500 0.719 1
```

***

The calculated energies rank the structures as follows, beginning with the most stable: run 4, run 3, run 1, run 2.

***

Run 1
DFT (GGA-PBEsol) results for a relaxed structure of Tl2CdIn.

The structure in CIF format:
```
data_Tl2CdIn
_chemical_formula_sum 'Tl8 Cd4 In4'
_cell_length_a 7.455
_cell_length_b 7.455
_cell_length_c 7.455
_cell_angle_alpha 90.00
_cell_angle_beta 90.00
_cell_angle_gamma 90.00
_symmetry_space_group_name_H-M 'F m -3 m'
_symmetry_Int_Tables_number 225
_symmetry_space_group_name_Hall '-F 4 2 3'
loop_
_atom_site_label
_atom_site_fract_x
_atom_site_fract_y
_atom_site_fract_z
_atom_site_occupancy
Tl1 0.250 0.250 0.250 1
Cd1 0.000 0.000 0.000 1
In1 0.000 0.000 0.500 1
```

***

Run 2
DFT (GGA-PBEsol) results for a relaxed structure of Tl2CdIn.

The structure in CIF format:
```
data_Tl2CdIn
_chemical_formula_sum 'Tl4 Cd2 In2'
_cell_length_a 11.762
_cell_length_b 3.473
_cell_length_c 5.433
_cell_angle_alpha 90.00
_cell_angle_beta 110.95
_cell_angle_gamma 90.00
_symmetry_space_group_name_H-M 'C 1 m 1'
_symmetry_Int_Tables_number 8
loop_
_symmetry_equiv_pos_as_xyz
'x,y,z'
'x,-y,z'
'x+1/2,y+1/2,z'
'x+1/2,-y+1/2,z'
loop_
_atom_site_label
_atom_site_fract_x
_atom_site_fract_y
_atom_site_fract_z
_atom_site_occupancy
Tl1 0.000 0.000 0.000 1
Tl2 0.231 0.000 0.696 1
Cd1 0.486 0.000 0.492 1
In1 0.258 0.500 0.216 1
```

***

Run 3
DFT (GGA-PBEsol) results for a relaxed structure of Tl2CdIn.

The structure in CIF format:
```
data_Tl2CdIn
_chemical_formula_sum 'Tl2 Cd1 In1'
_cell_length_a 3.211
_cell_length_b 5.276
_cell_length_c 6.317
_cell_angle_alpha 90.00
_cell_angle_beta 104.12
_cell_angle_gamma 90.00
_symmetry_space_group_name_H-M 'P 1 m 1'
_symmetry_Int_Tables_number 6
loop_
_symmetry_equiv_pos_as_xyz
'x,y,z'
'x,-y,z'
loop_
_atom_site_label
_atom_site_fract_x
_atom_site_fract_y
_atom_site_fract_z
_atom_site_occupancy
Tl1 0.000 0.000 0.000 1
Tl2 0.347 0.500 0.695 1
Cd1 0.596 0.500 0.207 1
In1 0.741 0.000 0.482 1
```

***

Run 4
DFT (GGA-PBEsol) results for a relaxed structure of Tl2CdIn.

The structure in CIF format:
```
data_Tl2CdIn
_chemical_formula_sum 'Tl8 Cd4 In4'
_cell_length_a 7.457
_cell_length_b 7.457
_cell_length_c 7.457
_cell_angle_alpha 90.00
_cell_angle_beta 90.00
_cell_angle_gamma 90.00
_symmetry_space_group_name_H-M 'F -4 3 m'
_symmetry_Int_Tables_number 216
_symmetry_space_group_name_Hall 'F -4 2 3'
loop_
_atom_site_label
_atom_site_fract_x
_atom_site_fract_y
_atom_site_fract_z
_atom_site_occupancy
Tl1 0.000 0.000 0.000 1
Tl2 0.250 0.250 0.250 1
Cd1 0.000 0.000 0.500 1
In1 0.250 0.250 0.750 1
```

***

The calculated energies rank the structures as follows, beginning with the most stable: run 3, run 2, run 1, run 4.

***

Run 1
DFT (GGA-PBEsol) results for a relaxed structure of Tl2CdIn.

The structure in CIF format:
```
data_Tl2CdIn
_chemical_formula_sum 'Tl2 Cd1 In1'
_cell_length_a 3.642
_cell_length_b 5.326
_cell_length_c 5.352
_cell_angle_alpha 90.00
_cell_angle_beta 90.00
_cell_angle_gamma 90.00
_symmetry_space_group_name_H-M 'P m m m'
_symmetry_Int_Tables_number 47
loop_
_symmetry_equiv_pos_as_xyz
'x,y,z'
'-x,-y,-z'
'-x,-y,z'
'x,y,-z'
'x,-y,-z'
'-x,y,z'
'-x,y,-z'
'x,-y,z'
loop_
_atom_site_label
_atom_site_fract_x
_atom_site_fract_y
_atom_site_fract_z
_atom_site_occupancy
Tl1 0.000 0.000 0.000 1
Tl2 0.500 0.000 0.500 1
Cd1 0.000 0.500 0.500 1
In1 0.500 0.500 0.000 1
```

***

Run 2
DFT (GGA-PBEsol) results for a relaxed structure of Tl2CdIn.

The structure in CIF format:
```
data_Tl2CdIn
_chemical_formula_sum 'Tl4 Cd2 In2'
_cell_length_a 4.675
_cell_length_b 4.675
_cell_length_c 9.399
_cell_angle_alpha 90.00
_cell_angle_beta 90.00
_cell_angle_gamma 90.00
_symmetry_space_group_name_H-M 'I 4/m m m'
_symmetry_Int_Tables_number 139
_symmetry_space_group_name_Hall '-I 4 2'
loop_
_atom_site_label
_atom_site_fract_x
_atom_site_fract_y
_atom_site_fract_z
_atom_site_occupancy
Tl1 0.000 0.500 0.250 1
Cd1 0.000 0.000 0.000 1
In1 0.000 0.000 0.500 1
```

***

Run 3
DFT (GGA-PBEsol) results for a relaxed structure of Tl2CdIn.

The structure in CIF format:
```
data_Tl2CdIn
_chemical_formula_sum 'Tl2 Cd1 In1'
_cell_length_a 3.276
_cell_length_b 4.505
_cell_length_c 6.965
_cell_angle_alpha 90.00
_cell_angle_beta 90.00
_cell_angle_gamma 90.00
_symmetry_space_group_name_H-M 'P m m 2'
_symmetry_Int_Tables_number 25
loop_
_symmetry_equiv_pos_as_xyz
'x,y,z'
'-x,-y,z'
'-x,y,z'
'x,-y,z'
loop_
_atom_site_label
_atom_site_fract_x
_atom_site_fract_y
_atom_site_fract_z
_atom_site_occupancy
Tl1 0.000 0.000 0.000 1
Tl2 0.500 0.500 0.268 1
Cd1 0.000 0.000 0.515 1
In1 0.500 0.500 0.739 1
```

***

The calculated energies rank the structures as follows, beginning with the most stable: run 3, run 2, run 1.